Entry from Alexandria via LeMat-Bulk: an optimized crystal structure of Mn5Cr3O16 (GGA+U).

Geometry as POSCAR:
```
Mn5Cr3O16
1.0
-1.0593 2.1585 -5.3053
-5.4441 0.1371 -2.0665
-1.1783 8.1074 3.4645
O Mn Cr
16 5 3
Direct
0.9968 0.9968 0.6840 O
0.5264 0.5264 0.6617 O
0.4763 0.0458 0.1605 O
0.8336 0.3384 0.3943 O
0.4782 0.4782 0.1582 O
0.8344 0.8344 0.3998 O
0.9548 0.5215 0.6583 O
0.1731 0.1731 0.8906 O
0.1724 0.6619 0.8947 O
0.3384 0.8336 0.3943 O
0.3364 0.3364 0.4003 O
0.9966 0.9966 0.1837 O
0.6619 0.1724 0.8947 O
0.0458 0.4763 0.1605 O
0.6700 0.6700 0.9024 O
0.5215 0.9548 0.6583 O
0.3334 0.3334 0.0179 Mn
0.6678 0.6678 0.5162 Mn
0.6626 0.1657 0.2887 Mn
0.1657 0.6626 0.2887 Mn
0.8292 0.8292 0.7857 Mn
0.8321 0.3291 0.7961 Cr
0.3291 0.8321 0.7961 Cr
0.1631 0.1631 0.2986 Cr
```

Computed properties:
total magnetization = 21.0 μB/f.u.
VASP energy = -172.351 eV/cell
space group = No. 8